[1]
# BaLa2Tl | the Alexandria database | GGA-PBE | optimized geometry
data_BaLa2Tl
_chemical_formula_sum 'Ba4 La8 Tl4'
_space_group_name_H-M_alt 'P 1'
_space_group_IT_number 1
_cell_length_a 8.3467
_cell_length_b 8.3467
_cell_length_c 8.3467
_cell_angle_alpha 90.00
_cell_angle_beta 90.00
_cell_angle_gamma 90.00
loop_
_space_group_symop_operation_xyz
'x,y,z'
loop_
_atom_site_label
_atom_site_fract_x
_atom_site_fract_y
_atom_site_fract_z
_atom_site_occupancy
Ba1 0.0000 0.0000 0.0000 1
Ba2 0.0000 0.5000 0.5000 1
Ba3 0.5000 0.0000 0.5000 1
Ba4 0.5000 0.5000 0.0000 1
La1 0.0000 0.0000 0.5000 1
La2 0.0000 0.5000 0.0000 1
La3 0.2500 0.2500 0.7500 1
La4 0.2500 0.7500 0.2500 1
La5 0.5000 0.0000 0.0000 1
La6 0.5000 0.5000 0.5000 1
La7 0.7500 0.2500 0.2500 1
La8 0.7500 0.7500 0.7500 1
Tl1 0.2500 0.2500 0.2500 1
Tl2 0.2500 0.7500 0.7500 1
Tl3 0.7500 0.2500 0.7500 1
Tl4 0.7500 0.7500 0.2500 1
# Total DFT energy (no corrections) in eV per atom: -3.499
# Relative energy among the computed polymorphs in eV per atom: 0.184
# Energy relative to the elements in eV per atom: 0.037

=====

[2]
# ScTlCd | the Alexandria database | GGA-PBE | optimized geometry
data_ScTlCd
_chemical_formula_sum 'Sc2 Tl2 Cd2'
_space_group_name_H-M_alt 'P 1'
_space_group_IT_number 1
_cell_length_a 4.6109
_cell_length_b 4.4943
_cell_length_c 7.1589
_cell_angle_alpha 90.00
_cell_angle_beta 108.64
_cell_angle_gamma 90.00
loop_
_space_group_symop_operation_xyz
'x,y,z'
loop_
_atom_site_label
_atom_site_fract_x
_atom_site_fract_y
_atom_site_fract_z
_atom_site_occupancy
Sc1 0.1578 0.0000 0.3163 1
Sc2 0.8422 0.0000 0.6837 1
Tl1 0.0000 0.5000 0.0000 1
Tl2 0.5000 0.0000 0.0000 1
Cd1 0.3199 0.5000 0.6400 1
Cd2 0.6801 0.5000 0.3600 1
# Total DFT energy (no corrections) in eV per atom: -3.381
# Energy relative to the elements in eV per atom: -0.177

=====

[3]
# CuNi2 | the Alexandria database | GGA-PBE | optimized geometry
data_CuNi2
_chemical_formula_sum 'Cu1 Ni2'
_space_group_name_H-M_alt 'P 1'
_space_group_IT_number 1
_cell_length_a 3.9874
_cell_length_b 3.9874
_cell_length_c 2.4482
_cell_angle_alpha 90.00
_cell_angle_beta 90.00
_cell_angle_gamma 120.00
loop_
_space_group_symop_operation_xyz
'x,y,z'
loop_
_atom_site_label
_atom_site_fract_x
_atom_site_fract_y
_atom_site_fract_z
_atom_site_occupancy
Cu1 0.0000 0.0000 0.0000 1
Ni1 0.3333 0.6667 0.3378 1
Ni2 0.6667 0.3333 0.6622 1
# Total DFT energy (no corrections) in eV per atom: -5.116
# Energy relative to the elements in eV per atom: 0.104

=====

[4]
# NpSbPd3 | the Alexandria database | GGA-PBE | optimized geometry
data_NpSbPd3
_chemical_formula_sum 'Np3 Sb3 Pd9'
_space_group_name_H-M_alt 'P 1'
_space_group_IT_number 1
_cell_length_a 5.4234
_cell_length_b 5.4234
_cell_length_c 12.0417
_cell_angle_alpha 90.00
_cell_angle_beta 90.00
_cell_angle_gamma 120.00
loop_
_space_group_symop_operation_xyz
'x,y,z'
loop_
_atom_site_label
_atom_site_fract_x
_atom_site_fract_y
_atom_site_fract_z
_atom_site_occupancy
Np1 0.0000 0.0000 0.0000 1
Np2 0.3333 0.6667 0.6667 1
Np3 0.6667 0.3333 0.3333 1
Sb1 0.0000 0.0000 0.7452 1
Sb2 0.3333 0.6667 0.4118 1
Sb3 0.6667 0.3333 0.0785 1
Pd1 0.0022 0.5011 0.8826 1
Pd2 0.1656 0.3312 0.2159 1
Pd3 0.1656 0.8344 0.2159 1
Pd4 0.3355 0.1678 0.5492 1
Pd5 0.4989 0.5011 0.8826 1
Pd6 0.4989 0.9978 0.8826 1
Pd7 0.6688 0.8344 0.2159 1
Pd8 0.8322 0.1678 0.5492 1
Pd9 0.8322 0.6645 0.5492 1
# Total DFT energy (no corrections) in eV per atom: -6.776
# Formation energy from raw total energies in eV per formula unit: -1.24
# Relative energy among the computed polymorphs in eV per atom: 0.079

=====

[5]
# NaOs2Ru2 | the Alexandria database | GGA-PBE | optimized geometry
data_NaOs2Ru2
_chemical_formula_sum 'Na2 Os4 Ru4'
_space_group_name_H-M_alt 'P 1'
_space_group_IT_number 1
_cell_length_a 4.2618
_cell_length_b 4.2618
_cell_length_c 9.9901
_cell_angle_alpha 90.00
_cell_angle_beta 90.00
_cell_angle_gamma 90.00
loop_
_space_group_symop_operation_xyz
'x,y,z'
loop_
_atom_site_label
_atom_site_fract_x
_atom_site_fract_y
_atom_site_fract_z
_atom_site_occupancy
Na1 0.0000 0.0000 0.0000 1
Na2 0.5000 0.5000 0.5000 1
Os1 0.0000 0.0000 0.3798 1
Os2 0.0000 0.0000 0.6202 1
Os3 0.5000 0.5000 0.1202 1
Os4 0.5000 0.5000 0.8798 1
Ru1 0.0000 0.5000 0.2500 1
Ru2 0.0000 0.5000 0.7500 1
Ru3 0.5000 0.0000 0.2500 1
Ru4 0.5000 0.0000 0.7500 1
# Total DFT energy (no corrections) in eV per atom: -7.843
# Relative energy among the computed polymorphs in eV per atom: 0.272
# Energy relative to the elements in eV per atom: 0.623

=====

[6]
# CuHg2Pd8 | the Alexandria database | GGA-PBE | optimized geometry
data_CuHg2Pd8
_chemical_formula_sum 'Cu1 Hg2 Pd8'
_space_group_name_H-M_alt 'P 1'
_space_group_IT_number 1
_cell_length_a 7.4402
_cell_length_b 7.4402
_cell_length_c 6.3859
_cell_angle_alpha 106.02
_cell_angle_beta 106.02
_cell_angle_gamma 31.67
loop_
_space_group_symop_operation_xyz
'x,y,z'
loop_
_atom_site_label
_atom_site_fract_x
_atom_site_fract_y
_atom_site_fract_z
_atom_site_occupancy
Cu1 0.0000 0.0000 0.0000 1
Hg1 0.2758 0.2758 0.3523 1
Hg2 0.7242 0.7242 0.6477 1
Pd1 0.0875 0.0875 0.4423 1
Pd2 0.1739 0.1739 0.9068 1
Pd3 0.3677 0.3677 0.8290 1
Pd4 0.4590 0.4590 0.2715 1
Pd5 0.5410 0.5410 0.7285 1
Pd6 0.6323 0.6323 0.1710 1
Pd7 0.8261 0.8261 0.0932 1
Pd8 0.9125 0.9125 0.5577 1
# Total DFT energy (no corrections) in eV per atom: -4.289
# Relative energy among the computed polymorphs in eV per atom: 0.000
# Energy relative to the elements in eV per atom: -0.085

=====

[7]
# CdTeN2 | the Alexandria database | GGA-PBE | optimized geometry
data_CdTeN2
_chemical_formula_sum 'Cd3 Te3 N6'
_space_group_name_H-M_alt 'P 1'
_space_group_IT_number 1
_cell_length_a 3.2063
_cell_length_b 3.2063
_cell_length_c 22.3927
_cell_angle_alpha 90.00
_cell_angle_beta 90.00
_cell_angle_gamma 120.00
loop_
_space_group_symop_operation_xyz
'x,y,z'
loop_
_atom_site_label
_atom_site_fract_x
_atom_site_fract_y
_atom_site_fract_z
_atom_site_occupancy
Cd1 0.0000 0.0000 0.0000 1
Cd2 0.3333 0.6667 0.6667 1
Cd3 0.6667 0.3333 0.3333 1
Te1 0.0000 0.0000 0.5000 1
Te2 0.3333 0.6667 0.1667 1
Te3 0.6667 0.3333 0.8333 1
N1 0.0000 0.0000 0.1159 1
N2 0.0000 0.0000 0.8841 1
N3 0.3333 0.6667 0.5507 1
N4 0.3333 0.6667 0.7826 1
N5 0.6667 0.3333 0.2174 1
N6 0.6667 0.3333 0.4493 1
# Total DFT energy (no corrections) in eV per atom: -4.177
# Formation energy from raw total energies in eV per formula unit: 4.00
# Relative energy among the computed polymorphs in eV per atom: 0.125

=====

[8]
# NdBiTeO6 | the Alexandria database | GGA-PBE | optimized geometry
data_NdBiTeO6
_chemical_formula_sum 'Nd2 Bi2 Te2 O12'
_space_group_name_H-M_alt 'P 1'
_space_group_IT_number 1
_cell_length_a 5.7890
_cell_length_b 5.7890
_cell_length_c 9.3886
_cell_angle_alpha 90.00
_cell_angle_beta 90.00
_cell_angle_gamma 120.00
loop_
_space_group_symop_operation_xyz
'x,y,z'
loop_
_atom_site_label
_atom_site_fract_x
_atom_site_fract_y
_atom_site_fract_z
_atom_site_occupancy
Nd1 0.3333 0.6667 0.2500 1
Nd2 0.6667 0.3333 0.7500 1
Bi1 0.0000 0.0000 0.0000 1
Bi2 0.0000 0.0000 0.5000 1
Te1 0.3333 0.6667 0.7500 1
Te2 0.6667 0.3333 0.2500 1
O1 0.0536 0.3824 0.6332 1
O2 0.0536 0.6711 0.8668 1
O3 0.3289 0.3824 0.8668 1
O4 0.3289 0.9464 0.6332 1
O5 0.3824 0.0536 0.1332 1
O6 0.3824 0.3289 0.3668 1
O7 0.6176 0.6711 0.6332 1
O8 0.6176 0.9464 0.8668 1
O9 0.6711 0.0536 0.3668 1
O10 0.6711 0.6176 0.1332 1
O11 0.9464 0.3289 0.1332 1
O12 0.9464 0.6176 0.3668 1
# Total DFT energy (no corrections) in eV per atom: -6.327
# Formation energy from raw total energies in eV per formula unit: -15.40